1.
# NbCrB3 (PBE, relaxed)
data_NbCrB3
_cell_length_a 3.7672
_cell_length_b 3.7672
_cell_length_c 3.7672
_cell_angle_alpha 90.00
_cell_angle_beta 90.00
_cell_angle_gamma 90.00
_space_group_name_H-M_alt 'P m -3 m'
_space_group_IT_number 221
_space_group_name_Hall '-P 4 2 3'
loop_
_atom_site_label
_atom_site_type_symbol
_atom_site_fract_x
_atom_site_fract_y
_atom_site_fract_z
_atom_site_occupancy
Nb1 Nb 0.0000 0.0000 0.0000 1
Cr1 Cr 0.5000 0.5000 0.5000 1
B1 B 0.0000 0.5000 0.5000 1
# D(E_F) = 0.516 states/eV/atom
# formation enthalpy at 0 K = 0.61 eV/atom
# M_tot = 0.00 Bohr magnetons per cell
# E = -7.333 eV per atom

2.
# NbCr2B2 (PBE, relaxed)
data_NbCr2B2
_cell_length_a 5.9109
_cell_length_b 5.9109
_cell_length_c 2.9756
_cell_angle_alpha 90.00
_cell_angle_beta 90.00
_cell_angle_gamma 90.00
_space_group_name_H-M_alt 'P 4/m b m'
_space_group_IT_number 127
_space_group_name_Hall '-P 4 2ab'
loop_
_atom_site_label
_atom_site_type_symbol
_atom_site_fract_x
_atom_site_fract_y
_atom_site_fract_z
_atom_site_occupancy
Nb1 Nb 0.0000 0.0000 0.0000 1
Cr1 Cr 0.1709 0.3291 0.5000 1
B1 B 0.1080 0.6080 0.0000 1
# D(E_F) = 1.013 states/eV/atom
# formation enthalpy at 0 K = -0.30 eV/atom
# M_tot = 0.00 Bohr magnetons per cell
# E = -8.837 eV per atom
# distance to the lowest polymorph of the same formula = 83 meV/atom

3.
# Nb5CrB4Ru10 (PBE, relaxed)
data_Nb5CrB4Ru10
_cell_length_a 9.4189
_cell_length_b 9.4189
_cell_length_c 2.9928
_cell_angle_alpha 90.00
_cell_angle_beta 90.00
_cell_angle_gamma 90.00
_space_group_name_H-M_alt 'P 4/m'
_space_group_IT_number 83
loop_
_space_group_symop_operation_xyz
'x,y,z'
'-x,-y,-z'
'-y,x,z'
'y,-x,-z'
'-x,-y,z'
'x,y,-z'
'y,-x,z'
'-y,x,-z'
loop_
_atom_site_label
_atom_site_type_symbol
_atom_site_fract_x
_atom_site_fract_y
_atom_site_fract_z
_atom_site_occupancy
Nb1 Nb 0.0000 0.0000 0.0000 1
Nb2 Nb 0.1790 0.6749 0.0000 1
Cr1 Cr 0.5000 0.5000 0.0000 1
B1 B 0.1262 0.3813 0.0000 1
Ru1 Ru 0.0000 0.5000 0.5000 1
Ru2 Ru 0.0730 0.2201 0.5000 1
Ru3 Ru 0.2863 0.4323 0.5000 1
# D(E_F) = 0.477 states/eV/atom
# formation enthalpy at 0 K = -0.42 eV/atom
# M_tot = 1.25 Bohr magnetons per cell
# E = -9.388 eV per atom